Th4MgCd5 | GGA-PBE | optimized geometry

Values from the calculation:
**Electronic total energy**: -3.70 eV/atom
**Formation energy**: -0.114 eV/atom
**Total moment**: 0.0 Bohr magnetons per cell
**Mass density**: 9.565 g/cm3

abc: 3.402 3.402 22.725
angles: 90.00 90.00 90.00
Space group P4/mmm (No. 123)
Unique sites:
1 Th 0.000 0.000 0.105 [2 per cell]
2 Th 0.000 0.000 0.315 [2 per cell]
3 Mg 0.000 0.000 0.500 [1 per cell]
4 Cd 0.500 0.500 0.000 [1 per cell]
5 Cd 0.500 0.500 0.210 [2 per cell]
6 Cd 0.500 0.500 0.420 [2 per cell]

=====

NdSiAu | GGA-PBE | optimized geometry

Values from the calculation:
**Electronic total energy**: -5.01 eV/atom
**Raw formation energy**: -1.56 eV per formula unit
**Total moment**: 0.0 Bohr magnetons per cell
**Mass density**: 9.018 g/cm3

abc: 4.472 4.472 6.801
angles: 90.00 90.00 90.00
Space group P4/nmm (No. 129, origin choice 2)
Unique sites:
1 Nd 0.250 0.250 0.181 [2 per cell]
2 Si 0.250 0.750 0.500 [2 per cell]
3 Au 0.250 0.250 0.710 [2 per cell]

=====

Ac2In3Ge | GGA-PBE | optimized geometry

Values from the calculation:
**Electronic total energy**: -3.99 eV/atom
**Formation energy**: -0.481 eV/atom
**Total moment**: 0.0 Bohr magnetons per cell
**Mass density**: 7.915 g/cm3

abc: 4.631 4.804 8.213
angles: 90.00 90.00 90.00
Space group Pmm2 (No. 25)
Unique sites:
1 Ac 0.000 0.000 0.000 [1 per cell]
2 Ac 0.000 0.500 0.475 [1 per cell]
3 In 0.500 0.000 0.646 [1 per cell]
4 In 0.500 0.500 0.157 [1 per cell]
5 In 0.500 0.500 0.816 [1 per cell]
6 Ge 0.500 0.000 0.317 [1 per cell]

=====

PmIn3Cu | GGA-PBE | optimized geometry

Values from the calculation:
**Electronic total energy**: -3.71 eV/atom
**Formation energy**: -0.298 eV/atom
**Total moment**: 0.0 Bohr magnetons per cell
**Mass density**: 7.872 g/cm3

abc: 9.023 4.475 11.554
angles: 90.00 90.00 90.00
Space group Pnma (No. 62)
Unique sites:
1 Pm 0.186 0.250 0.004 [4 per cell]
2 In 0.064 0.250 0.586 [4 per cell]
3 In 0.112 0.750 0.802 [4 per cell]
4 In 0.138 0.750 0.210 [4 per cell]
5 Cu 0.104 0.250 0.357 [4 per cell]